An optimized crystal structure of CaSnPd, computed with GGA-PBE.

POSCAR file:
```
CaSnPd
1.0
-3.6551 2.3552 -0.5409
-1.1057 -0.0029 7.4585
6.6701 10.6029 1.0949
Ca Sn Pd
6 6 6
Cartesian
-0.8175 5.7344 3.8721
2.7167 8.0676 7.8963
-0.8074 4.8876 0.1162
-2.9259 2.6091 4.5107
2.7269 7.2208 4.1404
4.8352 10.3461 3.5018
-1.3985 1.5457 7.3067
1.2020 5.4204 6.6050
1.8608 10.1970 5.2040
0.7073 7.5348 1.4074
0.0485 2.7582 2.8085
3.3079 11.4095 0.7057
4.2719 10.1926 6.6396
1.9818 9.7485 2.4341
0.2704 7.9219 6.0451
-2.3626 2.7626 1.3729
1.6389 5.0333 1.9673
-0.0725 3.2067 5.5783
```

Properties
crystal system = monoclinic
formation energy from the elements = -0.773 eV/atom
SG = P2_1/m, No. 11


An optimized crystal structure of CaSn4Pd, computed with GGA-PBE.

POSCAR file:
```
CaSn4Pd
1.0
-4.2472 1.1843 1.0656
-0.6284 -4.0682 2.0166
6.9646 5.0928 12.4443
Ca Sn Pd
2 8 2
Cartesian
0.5099 2.0197 9.4431
1.5790 0.1892 6.0834
-1.3584 -0.1743 4.4349
3.4473 2.3832 11.0917
-0.0182 3.0646 6.1767
2.7356 3.2125 7.3332
1.6342 5.0051 10.6063
1.0832 1.2720 2.9036
0.0000 0.0000 0.0000
-2.4378 -1.4420 1.5411
-1.5879 1.2212 1.9688
4.3053 5.0559 11.5411
```

Properties
crystal system = orthorhombic
formation energy from the elements = -0.378 eV/atom
SG = Cmmm, No. 65